A plane-wave DFT calculation with PBE-GGA was carried out for an optimized crystal structure of Pu2UTcC4.

Results
* formation energy: 14 kJ per mole of atoms
* DFT total energy: -10.76 eV/atom

Unit cell a=3.323 b=6.089 c=11.823 alpha=90.00 beta=90.00 gamma=105.84
Last column: magnetic moment on the atom in μB.
Fractional coordinates of all 16 atoms:
U 0.114 0.229 0.750  -0.67
U 0.886 0.771 0.250  -0.67
C 0.724 0.448 0.866  -0.07
C 0.536 0.072 0.250  0.00
C 0.000 0.000 0.000  -0.22
C 0.276 0.552 0.134  -0.07
C 0.276 0.552 0.366  -0.07
C 0.724 0.448 0.634  -0.07
C 0.000 0.000 0.500  -0.22
C 0.464 0.928 0.750  0.00
Tc 0.147 0.295 0.250  -0.29
Tc 0.853 0.705 0.750  -0.29
Pu 0.633 0.267 0.453  4.17
Pu 0.367 0.733 0.547  4.17
Pu 0.367 0.733 0.953  4.17
Pu 0.633 0.267 0.047  4.17